Material: Cr3Mo
Method: DFT, PBE
State: optimized geometry

Geometry as POSCAR:
```
Cr3Mo
1.0
2.9567 -4.1802 0.0000
2.9567 4.1802 0.0000
0.0000 0.0000 4.1773
Cr Mo
6 2
direct
0.1205 0.8795 0.7500 Cr
0.1218 0.3696 0.7500 Cr
0.3696 0.1218 0.2500 Cr
0.6304 0.8782 0.7500 Cr
0.8782 0.6304 0.2500 Cr
0.8795 0.1205 0.2500 Cr
0.3711 0.6289 0.2500 Mo
0.6289 0.3711 0.7500 Mo
```

Values from the calculation:
* DFT formation energy: 0.2 eV per formula unit

Material: Cr3Mo
Method: DFT, PBE
State: optimized geometry

Geometry as POSCAR:
```
Cr3Mo
1.0
-1.7338 1.7338 8.6719
1.7338 -1.7338 8.6719
1.7338 1.7338 -8.6719
Cr Mo
6 2
direct
0.0000 0.5000 0.5000 Cr
0.1260 0.1260 0.0000 Cr
0.2500 0.7500 0.5000 Cr
0.5000 0.0000 0.5000 Cr
0.7500 0.2500 0.5000 Cr
0.8740 0.8740 0.0000 Cr
0.3757 0.3757 0.0000 Mo
0.6243 0.6243 0.0000 Mo
```

Values from the calculation:
* DFT formation energy: 1.3 eV per formula unit

Material: Cr4Mo
Method: DFT, PBE
State: optimized geometry

Geometry as POSCAR:
```
Cr4Mo
1.0
-1.8579 1.8579 4.8848
1.8579 -1.8579 4.8848
1.8579 1.8579 -4.8848
Cr Mo
4 1
direct
0.1143 0.1143 0.0000 Cr
0.2500 0.7500 0.5000 Cr
0.7500 0.2500 0.5000 Cr
0.8857 0.8857 0.0000 Cr
0.5000 0.5000 0.0000 Mo
```

Values from the calculation:
* DFT formation energy: 3.3 eV per formula unit
* offset from the most stable computed form: 595.8 meV/atom

Material: Cr3Mo4
Method: DFT, PBE
State: optimized geometry

Geometry as POSCAR:
```
Cr3Mo4
1.0
-1.5243 1.5243 10.6599
1.5243 -1.5243 10.6599
1.5243 1.5243 -10.6599
Cr Mo
3 4
direct
0.0000 0.0000 0.0000 Cr
0.2834 0.2834 0.0000 Cr
0.7166 0.7166 0.0000 Cr
0.1477 0.1477 0.0000 Mo
0.4296 0.4296 0.0000 Mo
0.5704 0.5704 0.0000 Mo
0.8523 0.8523 0.0000 Mo
```

Values from the calculation:
* DFT formation energy: 0.5 eV per formula unit
* offset from the most stable computed form: 0.0 meV/atom

Material: CrMo5
Method: DFT, PBE
State: optimized geometry

Geometry as POSCAR:
```
CrMo5
1.0
1.5674 -6.5931 0.0000
1.5674 6.5931 0.0000
0.0000 0.0000 4.4207
Cr Mo
1 5
direct
0.0000 0.0000 0.0000 Cr
0.1649 0.8351 0.5000 Mo
0.3367 0.6633 0.0000 Mo
0.5000 0.5000 0.5000 Mo
0.6633 0.3367 0.0000 Mo
0.8351 0.1649 0.5000 Mo
```

Values from the calculation:
* DFT formation energy: 0.2 eV per formula unit
* offset from the most stable computed form: 0.0 meV/atom

Material: Cr2Mo3
Method: DFT, PBE
State: optimized geometry

Geometry as POSCAR:
```
Cr2Mo3
1.0
0.0000 4.3149 6.4010
2.6241 0.0000 6.4010
2.6241 4.3149 0.0000
Cr Mo
4 6
direct
0.0760 0.0760 0.6740 Cr
0.3260 0.3260 0.9240 Cr
0.6740 0.6740 0.0760 Cr
0.9240 0.9240 0.3260 Cr
0.1250 0.1250 0.1250 Mo
0.2710 0.2710 0.4790 Mo
0.4790 0.4790 0.2710 Mo
0.5210 0.5210 0.7290 Mo
0.7290 0.7290 0.5210 Mo
0.8750 0.8750 0.8750 Mo
```

Values from the calculation:
* DFT formation energy: 1.3 eV per formula unit
* offset from the most stable computed form: 0.0 meV/atom